(1)
Entry from Alexandria: a geometry-optimized FeNi2Ir structure (PBE).

Formation energy = -3.3 kJ per mole of atoms
Total energy = -7.26 eV per atom
Density = 12.382 g cm⁻³
Total moment = 4.555 μB per cell
Calculated volume = 49 Å³/f.u.

abc: 4.1894 2.6247 4.4572
angles: 90.01 90.00 90.00
Last column: nearest neighbours and their distance in Å.
Element x y z (fractional)
Ir 0.5000 0.6251 0.7960  8 Ni 2.56-2.61, 2 Fe 2.59, 2 Ir 2.62
Fe 0.0000 0.6253 0.4549  8 Ni 2.57-2.61, 2 Ir 2.59, 2 Fe 2.62
Ni 0.0000 0.1250 0.9602  4 Ni 2.56-2.62, 4 Fe 2.57-2.61, 4 Ir 2.58
Ni 0.5000 0.1246 0.2890  4 Ni 2.56-2.62, 4 Ir 2.56-2.61, 4 Fe 2.58

=====

(2)
Entry from Alexandria: a geometry-optimized MnCrPdRh structure (PBE).

Formation energy = -1.1 kJ per mole of atoms
Total energy = -7.85 eV per atom
Density = 8.991 g cm⁻³
Total moment = 7.859 μB per cell
Calculated volume = 58 Å³/f.u.

abc: 4.3551 4.3551 4.3551
angles: 60.00 60.00 60.00
Last column: nearest neighbours and their distance in Å.
Element x y z (fractional)
Rh 0.5000 0.5000 0.5000  4 Mn 2.67, 4 Cr 2.67
Pd 0.0000 0.0000 0.0000  4 Cr 2.67, 4 Mn 2.67
Mn 0.7500 0.7500 0.7500  4 Rh 2.67, 4 Pd 2.67
Cr 0.2500 0.2500 0.2500  4 Rh 2.67, 4 Pd 2.67

=====

What did the second record say?
Entry from Alexandria: a geometry-optimized MnCrPdRh structure (PBE).

Formation energy = -1.1 kJ per mole of atoms
Total energy = -7.85 eV per atom
Density = 8.991 g cm⁻³
Total moment = 7.859 μB per cell
Calculated volume = 58 Å³/f.u.

abc: 4.3551 4.3551 4.3551
angles: 60.00 60.00 60.00
Last column: nearest neighbours and their distance in Å.
Element x y z (fractional)
Rh 0.5000 0.5000 0.5000  4 Mn 2.67, 4 Cr 2.67
Pd 0.0000 0.0000 0.0000  4 Cr 2.67, 4 Mn 2.67
Mn 0.7500 0.7500 0.7500  4 Rh 2.67, 4 Pd 2.67
Cr 0.2500 0.2500 0.2500  4 Rh 2.67, 4 Pd 2.67

=====

- Which of these has the highest formation energy?
  MnCrPdRh

=====

- Which formula does entry 1 have?
  FeNi2Ir